P) ## BaCoRe (PBE)

Data for BaCoRe after structural relaxation.

Geometry as POSCAR:
```
BaCoRe
1.0
3.6891 -2.1304 0.0000
3.6891 2.1304 0.0000
-2.5170 0.0000 10.7596
Ba Co Re
2 2 2
Cartesian
0.0000 0.0000 0.0000
0.0035 0.0000 6.4757
4.9197 0.0000 2.0331
4.9203 0.0000 4.4450
0.0012 0.0000 3.2377
2.4608 0.0000 3.2416
```

Summary:
size of the total moment = 0.01 μB per formula unit



Q) ## BaCoRe (PBE)

Data for BaCoRe after structural relaxation.

Geometry as POSCAR:
```
BaCoRe
1.0
4.0841 0.0000 0.0000
0.0000 4.8606 0.0000
0.0000 0.0000 9.3835
Ba Co Re
2 2 2
Cartesian
0.0000 0.0000 0.0000
2.0421 2.4303 3.9958
0.0000 1.2386 6.2923
0.0000 3.6221 6.2923
2.0421 0.0000 6.7156
2.0421 2.4303 7.2634
```

Summary:
size of the total moment = 0.60 μB per formula unit



Short version: P) is the least stable of them.



P) ## BaCoRe (PBE)

Data for BaCoRe after structural relaxation.

Geometry as POSCAR:
```
BaCoRe
1.0
0.0000 3.3065 3.3065
3.3065 0.0000 3.3065
3.3065 3.3065 0.0000
Ba Co Re
1 1 1
Cartesian
0.0000 0.0000 0.0000
1.6532 1.6532 1.6532
3.3065 3.3065 3.3065
```

Summary:
size of the total moment = 4.03 μB per formula unit



Q) ## BaCoRe (PBE)

Data for BaCoRe after structural relaxation.

Geometry as POSCAR:
```
BaCoRe
1.0
4.7152 0.0000 0.0000
-2.2341 4.1558 0.0000
-1.1345 -0.7327 9.7887
Ba Co Re
2 2 2
Cartesian
0.0000 0.0000 0.0000
-1.0171 1.9904 5.5807
0.3643 1.3875 2.9006
-0.6409 3.5295 2.6493
2.7429 1.5001 2.2654
1.6675 3.4693 3.3197
```

Summary:
size of the total moment = 0.00 μB per formula unit



R) ## BaCoRe (PBE)

Data for BaCoRe after structural relaxation.

Geometry as POSCAR:
```
BaCoRe
1.0
-1.5800 1.5800 6.3053
1.5800 -1.5800 6.3053
1.5800 1.5800 -6.3053
Ba Co Re
1 1 1
Cartesian
0.0000 0.0000 0.0000
0.0000 0.0000 8.9443
0.0000 0.0000 3.6210
```

Summary:
size of the total moment = 0.28 μB per formula unit



S) ## BaCoRe (PBE)

Data for BaCoRe after structural relaxation.

Geometry as POSCAR:
```
BaCoRe
1.0
3.1026 -2.8172 0.0000
3.1026 2.8172 0.0000
-0.3280 0.0000 9.6449
Ba Co Re
2 2 2
Cartesian
1.4128 0.0000 2.8520
4.4643 0.0000 6.7929
1.4642 0.0000 8.5081
4.4129 0.0000 1.1368
3.1026 1.5459 0.0000
3.1026 -1.5459 0.0000
```

Summary:
size of the total moment = 0.00 μB per formula unit



Short version: P) is the least stable of them.



P) ## Ba2CoRe (PBE)

Data for Ba2CoRe after structural relaxation.

Geometry as POSCAR:
```
Ba2CoRe
1.0
2.0584 1.1884 9.0671
-2.0584 1.1884 9.0671
0.0000 -2.3769 9.0671
Ba Co Re
2 1 1
Cartesian
0.0000 0.0000 0.0000
0.0000 0.0000 4.7527
0.0000 0.0000 11.4333
0.0000 0.0000 20.5159
```

Summary:
size of the total moment = 1.11 μB per formula unit



Q) ## Ba2CoRe (PBE)

Data for Ba2CoRe after structural relaxation.

Geometry as POSCAR:
```
Ba2CoRe
1.0
0.0000 3.8683 3.8683
3.8683 0.0000 3.8683
3.8683 3.8683 0.0000
Ba Co Re
2 1 1
Cartesian
1.9341 1.9341 1.9341
5.8024 5.8024 5.8024
0.0000 0.0000 0.0000
3.8683 3.8683 3.8683
```

Summary:
size of the total moment = 4.06 μB per formula unit



Short version: Q) is the least stable of them.



P) ## BaCo3Re (PBE)

Data for BaCo3Re after structural relaxation.

Geometry as POSCAR:
```
BaCo3Re
1.0
4.6630 0.0000 0.0000
0.0000 4.6630 0.0000
0.0000 0.0000 4.6630
Ba Co Re
1 3 1
Cartesian
0.0000 0.0000 0.0000
0.0000 2.3315 2.3315
2.3315 0.0000 2.3315
2.3315 2.3315 0.0000
2.3315 2.3315 2.3315
```

Summary:
size of the total moment = 2.62 μB per formula unit



Q) ## BaCo3Re (PBE)

Data for BaCo3Re after structural relaxation.

Geometry as POSCAR:
```
BaCo3Re
1.0
4.7084 0.0000 0.0000
0.0000 4.7084 0.0000
0.0000 0.0000 4.7084
Ba Co Re
1 3 1
Cartesian
0.0000 0.0000 0.0000
0.0000 0.0000 2.3542
0.0000 2.3542 0.0000
2.3542 0.0000 0.0000
2.3542 2.3542 2.3542
```

Summary:
size of the total moment = 6.49 μB per formula unit



Short version: Q) is the least stable of them.



P) ## BaCo2Rh2 (PBE)

Data for BaCo2Rh2 after structural relaxation.

Geometry as POSCAR:
```
BaCo2Rh2
1.0
-2.1802 2.1802 4.9615
2.1802 -2.1802 4.9615
2.1802 2.1802 -4.9615
Ba Co Rh
1 2 2
Cartesian
0.0000 0.0000 0.0000
0.0000 0.0000 3.7223
0.0000 0.0000 6.2008
2.1802 0.0000 2.4808
0.0000 2.1802 2.4808
```

Summary:
size of the total moment = 5.39 μB per formula unit



Q) ## BaCo2Rh2 (PBE)

Data for BaCo2Rh2 after structural relaxation.

Geometry as POSCAR:
```
BaCo2Rh2
1.0
-2.1612 2.1612 5.1530
2.1612 -2.1612 5.1530
2.1612 2.1612 -5.1530
Ba Co Rh
1 2 2
Cartesian
0.0000 0.0000 0.0000
2.1612 0.0000 2.5765
0.0000 2.1612 2.5765
0.0000 0.0000 3.7747
0.0000 0.0000 6.5312
```

Summary:
size of the total moment = 4.92 μB per formula unit



Short version: Q) is the least stable of them.



P) ## BaCoRu (PBE)

Data for BaCoRu after structural relaxation.

Geometry as POSCAR:
```
BaCoRu
1.0
4.0074 0.0000 0.0000
-2.0037 3.4705 0.0000
0.0000 0.0000 5.1520
Ba Co Ru
1 1 1
Cartesian
0.0000 0.0000 0.0000
2.0037 1.1568 2.5760
0.0000 2.3136 2.5760
```

Summary:
size of the total moment = 0.48 μB per formula unit



Q) ## BaCoRu (PBE)

Data for BaCoRu after structural relaxation.

Geometry as POSCAR:
```
BaCoRu
1.0
0.0000 3.2801 3.2801
3.2801 0.0000 3.2801
3.2801 3.2801 0.0000
Ba Co Ru
1 1 1
Cartesian
0.0000 0.0000 0.0000
4.9201 4.9201 4.9201
1.6400 1.6400 1.6400
```

Summary:
size of the total moment = 2.53 μB per formula unit



Short version: Q) is the least stable of them.



P) ## Ba2CoRu (PBE)

Data for Ba2CoRu after structural relaxation.

Geometry as POSCAR:
```
Ba2CoRu
1.0
1.9186 1.1077 9.0683
-1.9186 1.1077 9.0683
0.0000 -2.2154 9.0683
Ba Co Ru
2 1 1
Cartesian
0.0000 0.0000 6.7654
0.0000 0.0000 20.4393
0.0000 0.0000 0.0000
0.0000 0.0000 13.6024
```

Summary:
size of the total moment = 2.16 μB per formula unit



Q) ## Ba2CoRu (PBE)

Data for Ba2CoRu after structural relaxation.

Geometry as POSCAR:
```
Ba2CoRu
1.0
3.6588 -2.1126 0.0000
3.6588 2.1126 0.0000
-2.3693 0.0000 8.7690
Ba Co Ru
2 1 1
Cartesian
0.0000 0.0000 0.0000
-0.0019 0.0000 4.4295
4.8780 0.0000 2.2172
2.4384 0.0000 2.2136
```

Summary:
size of the total moment = 2.37 μB per formula unit



Short version: P) is the least stable of them.



P) ## Ba2CoRu (PBE)

Data for Ba2CoRu after structural relaxation.

Geometry as POSCAR:
```
Ba2CoRu
1.0
0.0000 3.7193 3.7193
3.7193 0.0000 3.7193
3.7193 3.7193 0.0000
Ba Co Ru
2 1 1
Cartesian
0.0000 0.0000 0.0000
1.8597 1.8597 1.8597
5.5790 5.5790 5.5790
3.7193 3.7193 3.7193
```

Summary:
size of the total moment = 2.86 μB per formula unit



Q) ## Ba2CoRu (PBE)

Data for Ba2CoRu after structural relaxation.

Geometry as POSCAR:
```
Ba2CoRu
1.0
3.5418 0.0000 0.0000
0.0000 3.5418 0.0000
0.0000 0.0000 9.3764
Ba Co Ru
2 1 1
Cartesian
0.0000 0.0000 0.0000
1.7709 1.7709 4.0535
0.0000 0.0000 6.4624
1.7709 1.7709 6.9359
```

Summary:
size of the total moment = 2.73 μB per formula unit



R) ## Ba2CoRu (PBE)

Data for Ba2CoRu after structural relaxation.

Geometry as POSCAR:
```
Ba2CoRu
1.0
4.5109 -1.7782 0.0000
4.5109 1.7782 0.0000
-1.2399 0.0000 7.2583
Ba Co Ru
2 1 1
Cartesian
1.9350 0.0000 1.7776
5.8469 0.0000 5.4807
-0.6200 0.0000 3.6291
4.5109 0.0000 0.0000
```

Summary:
size of the total moment = 2.49 μB per formula unit



S) ## Ba2CoRu (PBE)

Data for Ba2CoRu after structural relaxation.

Geometry as POSCAR:
```
Ba2CoRu
1.0
0.0000 3.8337 3.8337
3.8337 0.0000 3.8337
3.8337 3.8337 0.0000
Ba Co Ru
2 1 1
Cartesian
1.9169 1.9169 1.9169
5.7506 5.7506 5.7506
0.0000 0.0000 0.0000
3.8337 3.8337 3.8337
```

Summary:
size of the total moment = 3.01 μB per formula unit



Short version: R) is the least stable of them.



P) ## Ba2CoRu (PBE)

Data for Ba2CoRu after structural relaxation.

Geometry as POSCAR:
```
Ba2CoRu
1.0
2.6523 -2.6577 0.0000
2.6523 2.6577 0.0000
0.0000 0.0000 7.9297
Ba Co Ru
2 1 1
Cartesian
0.0000 0.0000 1.9375
0.0000 0.0000 5.9922
2.6523 0.0000 3.9648
2.6523 0.0000 0.0000
```

Summary:
size of the total moment = 2.55 μB per formula unit



Q) ## Ba2CoRu (PBE)

Data for Ba2CoRu after structural relaxation.

Geometry as POSCAR:
```
Ba2CoRu
1.0
-5.8430 5.8430 2.2337
5.8430 -5.8430 2.2337
5.8430 5.8430 -2.2337
Ba Co Ru
4 2 2
Cartesian
0.6353 2.9215 0.5584
-2.9215 5.2077 1.6752
-0.6353 8.7644 0.5584
2.9215 6.4782 1.6752
5.8430 0.0000 1.1168
0.0000 0.0000 2.2337
0.0000 0.0000 0.0000
0.0000 5.8430 1.1168
```

Summary:
size of the total moment = 0.00 μB per formula unit



Short version: P) is the least stable of them.



P) ## Ba2CoRu (PBE)

Data for Ba2CoRu after structural relaxation.

Geometry as POSCAR:
```
Ba2CoRu
1.0
4.2049 0.0000 0.0000
0.0000 2.4390 5.9226
0.0000 -2.4390 5.9226
Ba Co Ru
2 1 1
Cartesian
0.0000 0.0000 0.0000
2.1025 0.0000 3.3440
0.0000 0.0000 8.0506
2.1025 0.0000 7.1749
```

Summary:
size of the total moment = 0.01 μB per formula unit



Q) ## Ba2CoRu (PBE)

Data for Ba2CoRu after structural relaxation.

Geometry as POSCAR:
```
Ba2CoRu
1.0
-2.2900 2.2900 5.1150
2.2900 -2.2900 5.1150
2.2900 2.2900 -5.1150
Ba Co Ru
2 1 1
Cartesian
0.0000 0.0000 0.0000
0.0000 2.2900 2.5575
2.2900 0.0000 2.5575
0.0000 0.0000 5.1150
```

Summary:
size of the total moment = 2.67 μB per formula unit



Short version: Q) is the least stable of them.



P) ## BaCo2Ru (PBE)

Data for BaCo2Ru after structural relaxation.

Geometry as POSCAR:
```
BaCo2Ru
1.0
4.7208 0.0000 0.0000
0.0000 4.7208 0.0000
0.0000 0.0000 3.2382
Ba Co Ru
1 2 1
Cartesian
0.0000 0.0000 0.0000
0.0000 2.3604 1.6191
2.3604 0.0000 1.6191
2.3604 2.3604 0.0000
```

Summary:
size of the total moment = 4.44 μB per formula unit



Q) ## BaCo2Ru (PBE)

Data for BaCo2Ru after structural relaxation.

Geometry as POSCAR:
```
BaCo2Ru
1.0
3.1494 0.0000 0.0000
0.0000 3.1494 0.0000
0.0000 0.0000 7.4966
Ba Co Ru
1 2 1
Cartesian
0.0000 0.0000 0.0000
0.0000 0.0000 3.6369
1.5747 1.5747 2.6014
1.5747 1.5747 4.9950
```

Summary:
size of the total moment = 4.47 μB per formula unit



Short version: P) is the least stable of them.



P) ## BaCo2Ru (PBE)

Data for BaCo2Ru after structural relaxation.

Geometry as POSCAR:
```
BaCo2Ru
1.0
-2.4767 2.4767 7.6988
2.4767 -2.4767 7.6988
2.4767 2.4767 -7.6988
Ba Co Ru
2 4 2
Cartesian
2.4767 1.2384 1.9247
0.0000 1.2384 5.7741
0.0000 0.0000 0.0000
1.2384 1.2384 -3.8494
1.2384 -1.2384 3.8494
0.0000 2.4767 0.0000
2.4767 -1.2384 5.7741
0.0000 3.7151 1.9247
```

Summary:
size of the total moment = 1.51 μB per formula unit



Q) ## BaCo2Ru (PBE)

Data for BaCo2Ru after structural relaxation.

Geometry as POSCAR:
```
BaCo2Ru
1.0
0.0000 3.2865 3.2865
3.2865 0.0000 3.2865
3.2865 3.2865 0.0000
Ba Co Ru
1 2 1
Cartesian
0.0000 0.0000 0.0000
3.2865 3.2865 3.2865
4.9298 4.9298 4.9298
1.6433 1.6433 1.6433
```

Summary:
size of the total moment = 3.96 μB per formula unit



Short version: Q) is the least stable of them.